Compound: NdTmZnHg
Source: Alexandria via LeMat-Bulk
Functional: PBE
Structure: optimized geometry

Results
The total energy comes out at -0.1142 Ha/atom. For the theoretical density, the calculation gives 9.7 g/cm³. The energy relative to the lowest polymorph listed for this composition is 0 kJ/mol of formula units. The formation energy is -38.92 kJ per mole of atoms.

Lattice parameters (Å, degrees): 3.621 3.621 7.587 90.00 90.00 90.00
Space group P4mm (No. 99)
Inequivalent atoms, fractional coordinates:
Nd (0.000, 0.000, 0.000) (multiplicity 1)
Tm (0.000, 0.000, 0.467) (multiplicity 1)
Zn (0.500, 0.500, 0.254) (multiplicity 1)
Hg (0.500, 0.500, 0.710) (multiplicity 1)

---

Compound: Co2ReIrS
Source: Alexandria via LeMat-Bulk
Functional: PBE
Structure: optimized geometry

Results
The total energy comes out at -0.2593 Ha/atom. For the theoretical density, the calculation gives 12.0 g/cm³. The value obtained for the raw formation energy is 84.3 kJ per mole of atoms.

Lattice parameters (Å, degrees): 4.054 4.054 4.467 90.00 90.00 90.00
Space group P4/mmm (No. 123)
Inequivalent atoms, fractional coordinates:
Co (0.000, 0.500, 0.000) (multiplicity 2)
Re (0.000, 0.000, 0.500) (multiplicity 1)
Ir (0.500, 0.500, 0.500) (multiplicity 1)
S (0.500, 0.500, 0.000) (multiplicity 1)

---

Compound: Sm3Tl3GeTe8
Source: Alexandria via LeMat-Bulk
Functional: PBE
Structure: optimized geometry

Results
The total energy comes out at -0.1538 Ha/atom. For the theoretical density, the calculation gives 6.4 g/cm³. The value obtained for the raw formation energy is -75.7 kJ per mole of atoms.

Lattice parameters (Å, degrees): 15.442 8.925 9.607 90.00 122.38 90.00
Space group C2/m (No. 12)
Inequivalent atoms, fractional coordinates:
Sm (0.000, 0.000, 0.000) (multiplicity 2)
Sm (0.250, 0.250, 0.000) (multiplicity 4)
Tl (0.000, 0.500, 0.500) (multiplicity 2)
Tl (0.250, 0.250, 0.500) (multiplicity 4)
Ge (0.000, 0.500, 0.000) (multiplicity 2)
Te (0.010, 0.265, 0.794) (multiplicity 8)
Te (0.225, 0.500, 0.206) (multiplicity 4)
Te (0.241, 0.000, 0.222) (multiplicity 4)

---

Compound: CoCuRe2
Source: Alexandria via LeMat-Bulk
Functional: PBE
Structure: optimized geometry

Results
The total energy comes out at -0.3222 Ha/atom. For the theoretical density, the calculation gives 15.6 g/cm³. The energy relative to the lowest polymorph listed for this composition is 38 kJ/mol of formula units. The formation energy is 24.90 kJ per mole of atoms.

Lattice parameters (Å, degrees): 5.224 7.728 2.603 90.00 90.00 90.00
Space group Cmmm (No. 65)
Inequivalent atoms, fractional coordinates:
Co (0.000, 0.000, 0.000) (multiplicity 2)
Cu (0.000, 0.500, 0.000) (multiplicity 2)
Re (0.250, 0.250, 0.500) (multiplicity 4)

---

Compound: MgZn2SiOs
Source: Alexandria via LeMat-Bulk
Functional: PBE
Structure: optimized geometry

Results
The total energy comes out at -0.1189 Ha/atom. For the theoretical density, the calculation gives 5.5 g/cm³. The value obtained for the raw formation energy is 89.1 kJ per mole of atoms.

Lattice parameters (Å, degrees): 4.788 4.788 4.915 90.00 90.00 90.00
Space group P4/mmm (No. 123)
Inequivalent atoms, fractional coordinates:
Mg (0.000, 0.000, 0.000) (multiplicity 1)
Zn (0.000, 0.500, 0.500) (multiplicity 2)
Si (0.500, 0.500, 0.000) (multiplicity 1)
Os (0.000, 0.000, 0.500) (multiplicity 1)

---

Compound: NaIrIO6
Source: Alexandria via LeMat-Bulk
Functional: PBE
Structure: optimized geometry

Results
The total energy comes out at -0.1960 Ha/atom. For the theoretical density, the calculation gives 5.8 g/cm³. The value obtained for the raw formation energy is -69.8 kJ per mole of atoms.

Lattice parameters (Å, degrees): 5.2808 5.2808 10.3579 90.00 90.00 120.00
Space group P-31c (No. 163)
Inequivalent atoms, fractional coordinates:
Na (0.0000, 0.0000, 0.0000) (multiplicity 2)
Ir (0.3333, 0.6667, 0.2500) (multiplicity 2)
I (0.3333, 0.6667, 0.7500) (multiplicity 2)
O (0.0010, 0.3668, 0.6469) (multiplicity 12)

---

Compound: SrLaZnAg
Source: Alexandria via LeMat-Bulk
Functional: PBE
Structure: optimized geometry

Results
The total energy comes out at -0.1071 Ha/atom. For the theoretical density, the calculation gives 5.8 g/cm³. The energy relative to the lowest polymorph listed for this composition is 11 kJ/mol of formula units. The formation energy is -22.32 kJ per mole of atoms.

Lattice parameters (Å, degrees): 7.688 7.688 7.688 90.00 90.00 90.00
Space group F-43m (No. 216)
Inequivalent atoms, fractional coordinates:
Sr (0.000, 0.000, 0.000) (multiplicity 4)
La (0.000, 0.000, 0.500) (multiplicity 4)
Zn (0.250, 0.250, 0.750) (multiplicity 4)
Ag (0.250, 0.250, 0.250) (multiplicity 4)

---

Compound: Tb3Pm3Ho2
Source: Alexandria via LeMat-Bulk
Functional: PBE
Structure: optimized geometry

Results
The total energy comes out at -0.1705 Ha/atom. For the theoretical density, the calculation gives 7.8 g/cm³. The energy relative to the lowest polymorph listed for this composition is 0 kJ/mol of formula units. The formation energy is 2.08 kJ per mole of atoms.

Lattice parameters (Å, degrees): 5.727 14.615 6.314 90.00 90.00 90.00
Space group Pmmn (No. 59, origin choice 2)
Inequivalent atoms, fractional coordinates:
Tb (0.250, 0.001, 0.166) (multiplicity 4)
Tb (0.250, 0.250, 0.171) (multiplicity 2)
Pm (0.250, 0.124, 0.667) (multiplicity 4)
Pm (0.250, 0.750, 0.163) (multiplicity 2)
Ho (0.250, 0.625, 0.666) (multiplicity 4)

---

Compound: LiMgIrCl6
Source: Alexandria via LeMat-Bulk
Functional: PBE
Structure: optimized geometry

Results
The total energy comes out at -0.1397 Ha/atom. For the theoretical density, the calculation gives 3.7 g/cm³. The value obtained for the raw formation energy is -115.5 kJ per mole of atoms.

Lattice parameters (Å, degrees): 6.2377 6.2377 11.6820 90.00 90.00 120.00
Space group P-31c (No. 163)
Inequivalent atoms, fractional coordinates:
Li (0.0000, 0.0000, 0.0000) (multiplicity 2)
Mg (0.3333, 0.6667, 0.2500) (multiplicity 2)
Ir (0.3333, 0.6667, 0.7500) (multiplicity 2)
Cl (0.0168, 0.3610, 0.6332) (multiplicity 12)

---

Compound: Li7Mg3Sn2
Source: Alexandria via LeMat-Bulk
Functional: PBE
Structure: optimized geometry

Results
The total energy comes out at -0.0854 Ha/atom. For the theoretical density, the calculation gives 2.4 g/cm³. The formation energy is -13.62 kJ per mole of atoms.

Lattice parameters (Å, degrees): 4.735 3.203 16.442 90.00 98.01 90.00
Space group P2/m (No. 10)
Inequivalent atoms, fractional coordinates:
Li (0.000, 0.000, 0.000) (multiplicity 1)
Li (0.089, 0.500, 0.177) (multiplicity 2)
Li (0.271, 0.500, 0.542) (multiplicity 2)
Li (0.427, 0.000, 0.855) (multiplicity 2)
Mg (0.184, 0.000, 0.370) (multiplicity 2)
Mg (0.500, 0.500, 0.000) (multiplicity 1)
Sn (0.357, 0.500, 0.713) (multiplicity 2)

---

Compound: AcPmTm4S8
Source: Alexandria via LeMat-Bulk
Functional: PBE
Structure: optimized geometry

Results
The total energy comes out at -0.2271 Ha/atom. For the theoretical density, the calculation gives 5.7 g/cm³. The value obtained for the raw formation energy is -184.3 kJ per mole of atoms.

Lattice parameters (Å, degrees): 8.0844 8.0844 20.1242 90.00 90.00 120.00
Space group R3m (No. 160, hexagonal axes)
Inequivalent atoms, fractional coordinates:
Ac (0.0000, 0.0000, 0.0000) (multiplicity 3)
Pm (0.0000, 0.0000, 0.3759) (multiplicity 3)
Tm (0.0000, 0.0000, 0.7476) (multiplicity 3)
Tm (0.1694, 0.3387, 0.2059) (multiplicity 9)
S (0.0000, 0.0000, 0.1404) (multiplicity 3)
S (0.0000, 0.0000, 0.6162) (multiplicity 3)
S (0.0081, 0.5040, 0.1297) (multiplicity 9)
S (0.1849, 0.3698, 0.9479) (multiplicity 9)

---

Compound: CaY2Te4
Source: Alexandria via LeMat-Bulk
Functional: PBE
Structure: optimized geometry

Results
The total energy comes out at -0.1978 Ha/atom. For the theoretical density, the calculation gives 5.1 g/cm³. The energy relative to the lowest polymorph listed for this composition is 22 kJ/mol of formula units. The value obtained for the raw formation energy is -140.3 kJ per mole of atoms.

Lattice parameters (Å, degrees): 4.349 14.344 15.137 90.00 90.00 90.00
Space group Cmcm (No. 63)
Inequivalent atoms, fractional coordinates:
Ca (0.000, 0.115, 0.250) (multiplicity 4)
Y (0.000, 0.365, 0.070) (multiplicity 8)
Te (0.000, 0.000, 0.000) (multiplicity 4)
Te (0.000, 0.276, 0.619) (multiplicity 8)
Te (0.000, 0.457, 0.250) (multiplicity 4)